Record 1
Tc2OsAu after structural relaxation, computed with GGA-PBE.

Cell lengths 3.945, 2.774, 6.264 Å; angles 63.73, 90.00, 90.00 degrees
Fractional positions:
Au 0.000 0.501 0.499
Os 0.500 0.720 0.781
Tc 0.000 0.006 0.995
Tc 0.500 0.273 0.225

## Properties
Energy above the lowest structure with this stoichiometry = 0.24 eV/f.u.
DFT formation energy = 0.27 eV per atom
M_tot = 0.00 μB per atom

---

Record 2
Tc2OsAu after structural relaxation, computed with GGA-PBE.

Cell lengths 7.209, 7.209, 5.759 Å; angles 51.25, 51.25, 90.00 degrees
Fractional positions:
Os 0.500 0.500 0.000
Os 0.250 0.750 0.500
Au 0.000 0.000 0.000
Au 0.750 0.250 0.500
Tc 0.577 0.125 0.250
Tc 0.173 0.625 0.250
Tc 0.375 0.423 0.750
Tc 0.875 0.827 0.750

## Properties
Energy above the lowest structure with this stoichiometry = 2.25 eV/f.u.
DFT formation energy = 0.77 eV per atom
M_tot = 0.00 μB per atom

---

Record 3
Tc2OsAu after structural relaxation, computed with GGA-PBE.

Cell lengths 4.444, 4.444, 4.444 Å; angles 60.00, 60.00, 60.00 degrees
Last column: magnetic moment on the atom in μB.
Fractional positions:
Os 0.000 0.000 0.000  0.50
Au 0.500 0.500 0.500  0.05
Tc 0.250 0.250 0.250  0.12
Tc 0.750 0.750 0.750  0.12

## Properties
Energy above the lowest structure with this stoichiometry = 1.77 eV/f.u.
DFT formation energy = 0.65 eV per atom
M_tot = 0.21 μB per atom